CrSbBr2 GGA-PBE relaxed; final energy = -0.292 Ry per atom; relative energy among the computed polymorphs = 477.2 meV/atom; formation energy without anion corrections = 116 kJ/mol of formula units; space-group type = No. 119; DOS(E_F) = 0.73 states/eV per atom
1.0
6.995 -0.001 0.000
4.535 5.326 0.000
-5.765 -2.662 2.934
Cr Sb Br
1 1 2
Cartesian
5.765 2.662 0.000
2.268 2.663 1.467
3.498 0.000 1.467
0.000 0.000 0.000

---

U2Si5Ru2Rh GGA-PBE relaxed; final energy = -0.602 Ry per atom; formation energy without anion corrections = -609 kJ/mol of formula units; space-group type = No. 15; DOS(E_F) = 1.41 states/eV per atom
1.0
5.889 5.609 0.012
-5.889 5.609 0.012
0.000 2.707 4.963
Si Ru U Rh
10 4 4 2
Cartesian
1.196 2.751 1.654
-3.272 6.286 1.253
-0.168 6.286 1.253
-1.196 11.174 3.334
3.272 7.639 3.735
-3.477 7.639 3.735
1.196 9.820 0.852
-1.196 4.105 4.136
0.168 7.639 3.735
3.477 6.286 1.253
-1.695 9.080 4.306
1.695 7.726 1.824
-1.695 6.199 3.164
1.695 4.845 0.682
1.624 10.254 3.825
1.624 5.025 3.645
-1.624 8.900 1.343
-1.624 3.671 1.163
-5.874 6.286 1.253
5.874 7.639 3.735

---

Ca2BeZn GGA-PBE relaxed; final energy = -0.142 Ry per atom; relative energy among the computed polymorphs = 295.3 meV/atom; space-group type = No. 166; energy of formation from the pure elements = 314 meV per atom; DOS(E_F) = 0.59 states/eV per atom
1.0
8.216 0.075 0.045
7.201 3.958 0.045
7.201 1.883 3.481
Zn Ca Be
1 2 1
Cartesian
5.654 1.479 0.893
0.130 0.034 0.020
11.179 2.924 1.765
16.963 4.437 2.678

---

Na3PtC GGA-PBE relaxed; final energy = -0.208 Ry per atom; relative energy among the computed polymorphs = 0.0 meV/atom; space-group type = No. 221; energy of formation from the pure elements = 1017 meV per atom; DOS(E_F) = 0.34 states/eV per atom
1.0
-3.665 0.020 -3.132
-0.342 -4.795 0.370
-3.113 0.504 3.647
Na C Pt
3 1 1
Cartesian
-1.557 0.252 1.823
-0.171 -2.397 0.185
-1.833 0.010 -1.566
0.000 0.000 0.000
-3.560 -2.136 0.442

---

CeTmGaCo GGA-PBE relaxed; final energy = -0.398 Ry per atom; space-group type = No. 216; energy of formation from the pure elements = -276 meV per atom; DOS(E_F) = 1.09 states/eV per atom
1.0
4.916 0.000 0.000
2.458 4.258 0.000
2.458 1.419 4.014
Ce Co Tm Ga
1 1 1 1
Cartesian
4.916 2.838 2.007
7.374 4.258 3.011
0.000 0.000 0.000
2.458 1.419 1.004

---

LaNd4Tm3S8 GGA-PBE relaxed; final energy = -0.471 Ry per atom; formation energy without anion corrections = -3089 kJ/mol of formula units; space-group type = No. 166; DOS(E_F) = 0.43 states/eV per atom
1.0
-6.034 1.306 5.017
-4.093 -6.068 -3.343
7.322 -1.285 2.833
Tm S Nd La
3 8 4 1
Cartesian
-5.064 -2.381 0.837
-1.403 -3.023 2.254
1.614 -3.677 -0.255
2.680 -5.399 1.590
-5.486 -0.648 2.917
-2.579 -1.277 0.500
1.102 -1.979 1.840
-0.847 -4.779 0.226
-0.227 -4.770 4.008
-1.959 -1.268 4.282
-3.908 -4.068 2.667
0.644 0.011 3.925
-3.017 0.653 2.509
3.661 -0.643 1.417
0.000 0.000 0.000
-2.047 -3.034 -1.671